(1)
NaTl4Hg7 | PBE | relaxed

a = 5.3105 Å, b = 5.3105 Å, c = 13.6538 Å
α = 90.00°, β = 90.00°, γ = 120.00°
Positions (direct):
Hg1 0.6667 0.3333 0.5855
Hg2 0.3333 0.6667 0.1750
Hg3 0.3333 0.6667 0.4145
Hg4 0.0000 0.0000 0.0000
Hg5 0.0000 0.0000 0.7500
Hg6 0.0000 0.0000 0.2500
Hg7 0.6667 0.3333 0.8250
Tl1 0.3333 0.6667 0.6513
Tl2 0.3333 0.6667 0.9127
Tl3 0.6667 0.3333 0.0873
Tl4 0.6667 0.3333 0.3487
Na1 0.0000 0.0000 0.5000

Output
Formation enthalpy at 0 K ... -0.06 eV/atom
Excess energy over the best structure of this formula in the dataset ... 0 meV per atom
SG ... P-3m1, No. 164
Total magnetization ... 0.000 μB per formula unit

***

(2)
NdZnSnPt3 | PBE | relaxed

a = 5.9271 Å, b = 6.6732 Å, c = 7.0730 Å
α = 118.15°, β = 90.00°, γ = 90.00°
Positions (direct):
Nd1 0.7500 0.2989 0.5978
Nd2 0.2500 0.7011 0.4022
Pt1 0.7500 0.8446 0.6893
Pt2 0.5000 0.7161 0.0000
Pt3 0.0000 0.7161 0.0000
Pt4 0.2500 0.1554 0.3107
Pt5 0.5000 0.2839 0.0000
Pt6 0.0000 0.2839 0.0000
Sn1 0.7500 0.6378 0.2755
Sn2 0.2500 0.3622 0.7245
Zn1 0.7500 0.0587 0.1175
Zn2 0.2500 0.9413 0.8825

Output
Formation enthalpy at 0 K ... -0.54 eV/atom
SG ... Cmcm, No. 63
Total magnetization ... 0.000 μB per formula unit

***

(3)
K12Tl3Hg5 | PBE | relaxed

a = 17.9035 Å, b = 17.9035 Å, c = 17.9035 Å
α = 109.47°, β = 109.47°, γ = 109.47°
Positions (direct):
K1 0.9462 0.3694 0.2745
K2 0.9462 0.5769 0.1717
K3 0.7255 0.5949 0.1717
K4 0.2255 0.6717 0.0949
K5 0.7745 0.4462 0.3694
K6 0.3283 0.5538 0.4231
K7 0.0769 0.9051 0.1306
K8 0.6717 0.4462 0.5769
K9 0.0949 0.9231 0.3694
K10 0.7255 0.1306 0.0538
K11 0.3694 0.9462 0.7745
K12 0.0949 0.1717 0.2255
K13 0.6306 0.0538 0.2255
K14 0.3283 0.7745 0.4051
K15 0.7745 0.3283 0.9051
K16 0.4462 0.7745 0.8694
K17 0.4051 0.2745 0.3283
K18 0.8694 0.2745 0.4462
K19 0.5769 0.9462 0.6717
K20 0.4231 0.3694 0.5949
K21 0.5538 0.3283 0.9231
K22 0.9231 0.8283 0.5538
K23 0.9051 0.0769 0.6306
K24 0.8283 0.9231 0.0538
K25 0.5769 0.6306 0.4051
K26 0.8283 0.9051 0.2745
K27 0.0769 0.1717 0.4462
K28 0.1717 0.0769 0.9462
K29 0.2745 0.8694 0.9462
K30 0.9051 0.8283 0.7745
K31 0.1717 0.0949 0.7255
K32 0.8694 0.5949 0.9231
K33 0.3694 0.4231 0.0949
K34 0.6306 0.5769 0.9051
K35 0.6717 0.2255 0.5949
K36 0.4051 0.1306 0.5769
K37 0.0538 0.6306 0.7255
K38 0.1306 0.7255 0.5538
K39 0.0538 0.4231 0.8283
K40 0.2255 0.5538 0.6306
K41 0.2745 0.4051 0.8283
K42 0.5538 0.2255 0.1306
K43 0.4462 0.6717 0.0769
K44 0.5949 0.7255 0.6717
K45 0.9231 0.0949 0.8694
K46 0.5949 0.8694 0.4231
K47 0.1306 0.4051 0.0769
K48 0.4231 0.0538 0.3283
Hg1 0.2500 0.8750 0.1250
Hg2 0.5000 0.5000 0.5000
Hg3 0.8750 0.2500 0.6250
Hg4 0.5000 0.0000 0.5000
Hg5 0.0000 0.5000 0.0000
Hg6 0.7500 0.6250 0.3750
Hg7 0.0000 0.5000 0.5000
Hg8 0.2500 0.3750 0.6250
Hg9 0.3750 0.2500 0.1250
Hg10 0.0000 0.0000 0.5000
Hg11 0.0000 0.0000 0.0000
Hg12 0.5000 0.5000 0.0000
Hg13 0.1250 0.3750 0.2500
Hg14 0.6250 0.7500 0.8750
Hg15 0.7500 0.1250 0.8750
Hg16 0.5000 0.0000 0.0000
Hg17 0.6250 0.8750 0.2500
Hg18 0.8750 0.6250 0.7500
Hg19 0.3750 0.1250 0.7500
Hg20 0.1250 0.7500 0.3750
Tl1 0.6250 0.3750 0.7500
Tl2 0.7500 0.3750 0.1250
Tl3 0.7500 0.8750 0.6250
Tl4 0.2500 0.1250 0.3750
Tl5 0.1250 0.2500 0.8750
Tl6 0.3750 0.6250 0.2500
Tl7 0.2500 0.6250 0.8750
Tl8 0.1250 0.8750 0.7500
Tl9 0.8750 0.1250 0.2500
Tl10 0.8750 0.7500 0.1250
Tl11 0.3750 0.7500 0.6250
Tl12 0.6250 0.2500 0.3750

Output
Formation enthalpy at 0 K ... 0.00 eV/atom
SG ... Ia-3d, No. 230
Total magnetization ... 0.000 μB per formula unit

***

(4)
Ho8CoRh2 | PBE | relaxed

a = 6.0038 Å, b = 7.4470 Å, c = 7.4470 Å
α = 113.27°, β = 101.28°, γ = 101.28°
Positions (direct):
Ho1 0.9892 0.7962 0.2010
Ho2 0.1694 0.3533 0.3533
Ho3 0.8039 0.6475 0.6475
Ho4 0.3729 0.9235 0.6658
Ho5 0.3729 0.6658 0.9235
Ho6 0.5839 0.0876 0.3468
Ho7 0.9892 0.2010 0.7962
Ho8 0.5839 0.3468 0.0876
Rh1 0.4827 0.3201 0.6952
Rh2 0.4827 0.6952 0.3201
Co1 0.1690 0.9969 0.9969

Output
Formation enthalpy at 0 K ... -0.31 eV/atom
SG ... Cm, No. 8
Total magnetization ... 0.000 μB per formula unit